[1]
# PBE ZnAgHg2, optimized geometry
# energy of formation: 0.10 eV/atom
# Fermi-level density of states: 0.10 states/eV per atom
data_ZnAgHg2
_space_group_name_H-M_alt 'R 3 m'
_space_group_IT_number 160
_space_group_name_Hall 'R 3 -2"'
_cell_length_a 3.1450
_cell_length_b 3.1450
_cell_length_c 29.3281
_cell_angle_alpha 90.00
_cell_angle_beta 90.00
_cell_angle_gamma 120.00
loop_
_atom_site_label
_atom_site_fract_x
_atom_site_fract_y
_atom_site_fract_z
_atom_site_occupancy
Zn1 0.0000 0.0000 0.0000 1
Ag1 0.0000 0.0000 0.2637 1
Hg1 0.0000 0.0000 0.5138 1
Hg2 0.0000 0.0000 0.7508 1

[2]
# PBE KOs2W, optimized geometry
# energy of formation: 1.43 eV/atom
# Fermi-level density of states: 0.73 states/eV per atom
data_KOs2W
_space_group_name_H-M_alt 'F m -3 m'
_space_group_IT_number 225
_space_group_name_Hall '-F 4 2 3'
_cell_length_a 6.453
_cell_length_b 6.453
_cell_length_c 6.453
_cell_angle_alpha 90.00
_cell_angle_beta 90.00
_cell_angle_gamma 90.00
loop_
_atom_site_label
_atom_site_fract_x
_atom_site_fract_y
_atom_site_fract_z
_atom_site_occupancy
K1 0.000 0.000 0.000 1
Os1 0.250 0.250 0.250 1
W1 0.000 0.000 0.500 1

[3]
# PBE Ca2NbPdC, optimized geometry
# energy of formation: 0.58 eV/atom
# Fermi-level density of states: 0.55 states/eV per atom
data_Ca2NbPdC
_space_group_name_H-M_alt 'P 4/m m m'
_space_group_IT_number 123
_space_group_name_Hall '-P 4 2'
_cell_length_a 5.187
_cell_length_b 5.187
_cell_length_c 3.954
_cell_angle_alpha 90.00
_cell_angle_beta 90.00
_cell_angle_gamma 90.00
loop_
_atom_site_label
_atom_site_fract_x
_atom_site_fract_y
_atom_site_fract_z
_atom_site_occupancy
Ca1 0.000 0.500 0.000 1
Nb1 0.000 0.000 0.500 1
Pd1 0.500 0.500 0.500 1
C1 0.500 0.500 0.000 1

[4]
# PBE TlCuIr4, optimized geometry
# energy of formation: 0.59 eV/atom
# Fermi-level density of states: 1.31 states/eV per atom
data_TlCuIr4
_space_group_name_H-M_alt 'F -4 3 m'
_space_group_IT_number 216
_space_group_name_Hall 'F -4 2 3'
_cell_length_a 7.410
_cell_length_b 7.410
_cell_length_c 7.410
_cell_angle_alpha 90.00
_cell_angle_beta 90.00
_cell_angle_gamma 90.00
loop_
_atom_site_label
_atom_site_fract_x
_atom_site_fract_y
_atom_site_fract_z
_atom_site_occupancy
Tl1 0.000 0.000 0.000 1
Cu1 0.250 0.250 0.750 1
Ir1 0.125 0.125 0.375 1

[5]
# PBE Pm3In, optimized geometry
# energy of formation: -0.13 eV/atom
# Fermi-level density of states: 1.47 states/eV per atom
data_Pm3In
_space_group_name_H-M_alt 'F m -3 m'
_space_group_IT_number 225
_space_group_name_Hall '-F 4 2 3'
_cell_length_a 7.892
_cell_length_b 7.892
_cell_length_c 7.892
_cell_angle_alpha 90.00
_cell_angle_beta 90.00
_cell_angle_gamma 90.00
loop_
_atom_site_label
_atom_site_fract_x
_atom_site_fract_y
_atom_site_fract_z
_atom_site_occupancy
Pm1 0.000 0.000 0.000 1
Pm2 0.250 0.250 0.250 1
In1 0.000 0.000 0.500 1

[6]
# PBE LaZrV2, optimized geometry
# energy of formation: 0.89 eV/atom
# Fermi-level density of states: 1.33 states/eV per atom
data_LaZrV2
_space_group_name_H-M_alt 'I -4 2 d'
_space_group_IT_number 122
_space_group_name_Hall 'I -4 2bw'
_cell_length_a 7.537
_cell_length_b 7.537
_cell_length_c 5.862
_cell_angle_alpha 90.00
_cell_angle_beta 90.00
_cell_angle_gamma 90.00
loop_
_atom_site_label
_atom_site_fract_x
_atom_site_fract_y
_atom_site_fract_z
_atom_site_occupancy
La1 0.000 0.000 0.000 1
Zr1 0.000 0.000 0.500 1
V1 0.242 0.250 0.625 1